[1]
Hf3U5As8 | GGA-PBE | optimized geometry

Unit cell a=7.920 b=7.920 c=8.012 alpha=60.38 beta=60.38 gamma=60.00
Last column: magnetic moment on the atom in μB.
Fractional coordinates of all 16 atoms:
Hf1 0.500 0.000 0.500  -0.01
Hf2 0.000 0.000 0.500  -0.01
Hf3 0.000 0.500 0.500  -0.01
U1 0.500 0.000 0.000  2.27
U2 0.500 0.500 0.000  2.27
U3 0.000 0.000 0.000  2.09
U4 0.000 0.500 0.000  2.27
U5 0.500 0.500 0.500  2.04
As1 0.250 0.250 0.737  -0.04
As2 0.250 0.763 0.737  -0.04
As3 0.763 0.250 0.737  -0.04
As4 0.756 0.756 0.733  -0.03
As5 0.750 0.750 0.263  -0.04
As6 0.750 0.237 0.263  -0.04
As7 0.237 0.750 0.263  -0.04
As8 0.244 0.244 0.267  -0.03

Properties
- Symmetry: R-3m
- Density of states at the Fermi level: 1.3130 states/eV per atom
- DFT total energy: -8.57 eV/atom

***

[2]
TbPm2Sn | GGA-PBE | optimized geometry

Unit cell a=5.509 b=5.509 c=5.509 alpha=60.00 beta=60.00 gamma=60.00
Fractional coordinates of all 4 atoms:
Tb1 0.500 0.500 0.500
Sn1 0.000 0.000 0.000
Pm1 0.250 0.250 0.250
Pm2 0.750 0.750 0.750

Properties
- Distance to the lowest polymorph of the same formula: 180 meV per atom
- Symmetry: Fm-3m
- Density of states at the Fermi level: 1.7870 states/eV per atom
- DFT total energy: -4.79 eV/atom

***

Number 1: E_form -0.8526 eV per atom. Number 2: E_form -0.2608 eV per atom.